Computed, not measured: a relaxed structure of RbMgAg2I at the PBE-GGA level of DFT.

The calculation puts the uncorrected formation energy at 0.875 eV/atom. For the total energy, the calculation gives -1.0880 eV per atom.

Structure (extended XYZ):
```
5
Lattice="6.0430 0.0000 0.0000 0.0000 6.0430 0.0000 0.0000 0.0000 7.1450" Properties=species:S:1:pos:R:3 pbc="T T T"
Rb 0.0000 0.0000 0.0000
Mg 0.0000 0.0000 3.5725
Ag 0.0000 3.0215 0.0000
Ag 3.0215 0.0000 0.0000
I 3.0215 3.0215 3.5725
```